Density functional theory data (PBE with a Hubbard U) for an optimized crystal structure of FeSO4.

- space group = Pnma (62)
- total DFT energy (no corrections) (Ry per atom) = -0.47075
- DOS at the Fermi energy (states/eV/f.u.) = 0.0
- calculated volume (Å³ per atom) = 12.4

a = 4.8856 Å, b = 6.8907 Å, c = 8.8226 Å
α = 90.00°, β = 90.00°, γ = 90.00°
Last column: nearest neighbours and their distance in Å.
Atoms (fractional coordinates):
Fe 0.5000 0.5000 0.5000  4 O 2.04-2.19
Fe 0.0000 0.5000 0.0000  4 O 2.04-2.19
Fe 0.5000 0.0000 0.5000  4 O 2.04-2.19
Fe 0.0000 0.0000 0.0000  4 O 2.04-2.19
S 0.5249 0.7500 0.1768  4 O 1.48-1.51
S 0.0249 0.2500 0.3232  4 O 1.48-1.51
S 0.4751 0.2500 0.8232  4 O 1.48-1.51
S 0.9751 0.7500 0.6768  4 O 1.48-1.51
O 0.2365 0.7500 0.1201  1 S 1.50
O 0.7365 0.2500 0.3799  1 S 1.50
O 0.7635 0.2500 0.8799  1 S 1.50
O 0.2635 0.7500 0.6201  1 S 1.50
O 0.5307 0.7500 0.3481  1 S 1.51
O 0.0307 0.2500 0.1519  1 S 1.51
O 0.4693 0.2500 0.6519  1 S 1.51
O 0.9693 0.7500 0.8481  1 S 1.51
O 0.8366 0.9286 0.6254  1 S 1.48
O 0.3366 0.0714 0.8746  1 S 1.48
O 0.1634 0.4286 0.3746  1 S 1.48
O 0.6634 0.5714 0.1254  1 S 1.48
O 0.1634 0.0714 0.3746  1 S 1.48
O 0.6634 0.9286 0.1254  1 S 1.48
O 0.8366 0.5714 0.6254  1 S 1.48
O 0.3366 0.4286 0.8746  1 S 1.48